Cr2SBr: relaxed, GGA-PBEsol.

abc: 4.582 4.582 4.582
angles: 60.00 60.00 60.00
Sites, in units of the cell vectors:
Cr1 0.250 0.250 0.250
Cr2 0.750 0.750 0.750
S1 0.000 0.000 0.000
Br1 0.500 0.500 0.500

Calculated values
Formation energy without anion corrections, eV per atom: 0.3217
Energy, eV/atom: -6.36

MgZnO2: relaxed, GGA-PBEsol.

abc: 5.605 5.605 5.605
angles: 132.09 132.09 70.08
Sites, in units of the cell vectors:
Mg1 0.000 0.000 0.000
Mg2 0.750 0.250 0.500
Zn1 0.250 0.750 0.500
Zn2 0.500 0.500 0.000
O1 0.123 0.625 0.998
O2 0.375 0.373 0.498
O3 0.627 0.125 0.002
O4 0.875 0.877 0.502

Calculated values
Excess energy over the best structure of this formula in the dataset, eV/atom: 0.016
Formation energy without anion corrections, eV per atom: -2.0243
Energy, eV/atom: -5.47

La3ZrNi: relaxed, GGA-PBEsol.

abc: 5.308 5.308 5.308
angles: 90.00 90.00 90.00
Sites, in units of the cell vectors:
La1 0.000 0.000 0.500
La2 0.000 0.500 0.000
La3 0.500 0.000 0.000
Zr1 0.500 0.500 0.500
Ni1 0.000 0.000 0.000

Calculated values
Energy, eV/atom: -5.98

Y2OsPb: relaxed, GGA-PBEsol.

abc: 3.452 4.597 6.167
angles: 90.00 90.00 90.00
Sites, in units of the cell vectors:
Y1 0.000 0.000 0.000
Y2 0.500 0.500 0.328
Os1 0.000 0.000 0.433
Pb1 0.500 0.500 0.804

Calculated values
Energy, eV/atom: -7.33

SiP2Rh: relaxed, GGA-PBEsol.

abc: 4.250 4.250 4.250
angles: 60.00 60.00 60.00
Sites, in units of the cell vectors:
Si1 0.000 0.000 0.000
P1 0.500 0.500 0.500
P2 0.750 0.750 0.750
Rh1 0.250 0.250 0.250

Calculated values
Formation energy without anion corrections, eV per atom: 0.1924
Energy, eV/atom: -6.17

Te2BrN: relaxed, GGA-PBEsol.

abc: 9.188 9.188 9.188
angles: 21.74 21.74 21.74
Sites, in units of the cell vectors:
Te1 0.071 0.071 0.071
Te2 0.929 0.929 0.929
Br1 0.500 0.500 0.500
N1 0.000 0.000 0.000

Calculated values
Formation energy without anion corrections, eV per atom: 0.4989
Energy, eV/atom: -3.86